InSnH3 (GGA-PBE, optimized geometry); volume = 14.80 Å³ per atom; excess energy over the best structure of this formula in the dataset = 0 meV per atom; theoretical density = 5.3 g cm⁻³
1.0
-3.222 1.991 -1.811
-1.037 -3.525 -2.031
-2.484 -1.112 3.197
H Sn In
3 1 1
direct
0.000 0.500 0.000
0.000 0.000 0.500
0.500 0.000 0.000
0.000 0.000 0.000
0.500 0.500 0.500